The following is a DFT calculation (PBE-GGA) of a relaxed Er4PtS3 crystal.

The density of states at the Fermi level comes out at 0.463 states/eV/atom. The value obtained for the total magnetic moment is 0.00 μB per atom. Its uncorrected formation energy is -1.749 eV/atom.

The space group is Cmmm (No. 65) and the conventional cell measures 7.988, 11.181 and 3.859 Å, with angles of 90.00, 90.00 and 90.00 degrees. The asymmetric unit holds Er at (0.000, 0.249, 0.000), Er at (0.247, 0.500, 0.500), Pt at (0.000, 0.500, 0.000), S at (0.000, 0.000, 0.000) and S at (0.250, 0.250, 0.500).



The following is a DFT calculation (PBE-GGA) of a relaxed ErPtS2 crystal.

The density of states at the Fermi level comes out at 0.776 states/eV/atom. The value obtained for the total magnetic moment is 0.00 μB per atom. Its uncorrected formation energy is -0.399 eV/atom.

The space group is R-3m (No. 166, hexagonal axes) and the conventional cell measures 3.6625, 3.6625 and 23.4141 Å, with angles of 90.00, 90.00 and 120.00 degrees. The asymmetric unit holds Er at (0.0000, 0.0000, 0.0000), Pt at (0.0000, 0.0000, 0.5000) and S at (0.0000, 0.0000, 0.1142).



The following is a DFT calculation (PBE-GGA) of a relaxed Er7PtS5 crystal.

The density of states at the Fermi level comes out at 0.511 states/eV/atom. The value obtained for the total magnetic moment is 0.00 μB per atom. Its uncorrected formation energy is -1.739 eV/atom.

The space group is P2_1/m (No. 11) and the conventional cell measures 3.832, 23.260 and 6.647 Å, with angles of 90.00, 106.68 and 90.00 degrees. The asymmetric unit holds Er at (0.036, 0.250, 0.071), Er at (0.138, 0.537, 0.276), Er at (0.306, 0.178, 0.612), Er at (0.409, 0.611, 0.819), Pt at (0.302, 0.750, 0.605), S at (0.050, 0.641, 0.101), S at (0.225, 0.070, 0.450) and S at (0.500, 0.000, 0.000).



The following is a DFT calculation (PBE-GGA) of a relaxed Er6Pt2SeS3 crystal.

The density of states at the Fermi level comes out at 0.509 states/eV/atom. The value obtained for the total magnetic moment is 0.00 μB per atom. Its uncorrected formation energy is -1.665 eV/atom.

The space group is C2/m (No. 12) and the conventional cell measures 17.814, 3.896 and 8.104 Å, with angles of 90.00, 107.05 and 90.00 degrees. The asymmetric unit holds Er at (0.010, 0.000, 0.265), Er at (0.160, 0.500, 0.602), Er at (0.173, 0.500, 0.120), Pt at (0.178, 0.000, 0.370), Se at (0.000, 0.500, 0.000), S at (0.000, 0.500, 0.500) and S at (0.158, 0.000, 0.857).



The following is a DFT calculation (PBE-GGA) of a relaxed Er6PtSe2S3 crystal.

The density of states at the Fermi level comes out at 0.374 states/eV/atom. The value obtained for the total magnetic moment is 0.00 μB per atom. Its uncorrected formation energy is -1.757 eV/atom.

The space group is C2/m (No. 12) and the conventional cell measures 6.895, 11.939 and 6.851 Å, with angles of 90.00, 109.71 and 90.00 degrees. The asymmetric unit holds Er at (0.237, 0.000, 0.239), Er at (0.245, 0.162, 0.755), Pt at (0.000, 0.000, 0.500), Se at (0.000, 0.335, 0.500), S at (0.000, 0.175, 0.000) and S at (0.000, 0.500, 0.000).



The following is a DFT calculation (PBE-GGA) of a relaxed Er4PtSeS2 crystal.

The density of states at the Fermi level comes out at 0.514 states/eV/atom. The value obtained for the total magnetic moment is 0.00 μB per atom. Its uncorrected formation energy is -1.692 eV/atom.

The space group is P2/m (No. 10) and the conventional cell measures 6.936, 3.893 and 6.958 Å, with angles of 90.00, 108.75 and 90.00 degrees. The asymmetric unit holds Er at (0.239, 0.000, 0.240), Er at (0.241, 0.500, 0.750), Pt at (0.000, 0.000, 0.500), Se at (0.500, 0.500, 0.500), S at (0.000, 0.500, 0.000) and S at (0.500, 0.000, 0.000).



The following is a DFT calculation (PBE-GGA) of a relaxed Er8Pt3Se4S crystal.

The density of states at the Fermi level comes out at 0.536 states/eV/atom. The value obtained for the total magnetic moment is 0.00 μB per atom. Its uncorrected formation energy is -1.558 eV/atom.

The space group is R-3m (No. 166, hexagonal axes) and the conventional cell measures 7.9687, 7.9687 and 20.7600 Å, with angles of 90.00, 90.00 and 120.00 degrees. The asymmetric unit holds Er at (0.0000, 0.0000, 0.2427), Er at (0.0062, 0.5031, 0.7556), Pt at (0.0000, 0.5000, 0.5000), Se at (0.0000, 0.0000, 0.0000), Se at (0.0000, 0.5000, 0.0000) and S at (0.0000, 0.0000, 0.5000).



The following is a DFT calculation (PBE-GGA) of a relaxed Er8PtSe4S3 crystal.

The density of states at the Fermi level comes out at 0.315 states/eV/atom. The value obtained for the total magnetic moment is 0.00 μB per atom. Its uncorrected formation energy is -1.756 eV/atom.

The space group is R-3m (No. 166, hexagonal axes) and the conventional cell measures 7.9626, 7.9626 and 19.7438 Å, with angles of 90.00, 90.00 and 120.00 degrees. The asymmetric unit holds Er at (0.0000, 0.0000, 0.2426), Er at (0.0034, 0.5017, 0.2435), Pt at (0.0000, 0.0000, 0.5000), Se at (0.0000, 0.0000, 0.0000), Se at (0.0000, 0.5000, 0.0000) and S at (0.0000, 0.5000, 0.5000).



The following is a DFT calculation (PBE-GGA) of a relaxed Er6PtSe3S2 crystal.

The density of states at the Fermi level comes out at 0.253 states/eV/atom. The value obtained for the total magnetic moment is 0.00 μB per atom. Its uncorrected formation energy is -1.738 eV/atom.

The space group is C2/m (No. 12) and the conventional cell measures 6.932, 12.006 and 6.963 Å, with angles of 90.00, 109.55 and 90.00 degrees. The asymmetric unit holds Er at (0.242, 0.166, 0.232), Er at (0.247, 0.500, 0.235), Pt at (0.000, 0.000, 0.000), Se at (0.000, 0.171, 0.500), Se at (0.000, 0.500, 0.500) and S at (0.000, 0.334, 0.000).



The following is a DFT calculation (PBE-GGA) of a relaxed Er8Te4PtS3 crystal.

The density of states at the Fermi level comes out at 0.379 states/eV/atom. The value obtained for the total magnetic moment is 0.00 μB per atom. Its uncorrected formation energy is -1.521 eV/atom.

The space group is R-3m (No. 166, hexagonal axes) and the conventional cell measures 8.1931, 8.1931 and 20.7367 Å, with angles of 90.00, 90.00 and 120.00 degrees. The asymmetric unit holds Er at (0.0000, 0.0000, 0.2348), Er at (0.0032, 0.5016, 0.2366), Te at (0.0000, 0.0000, 0.0000), Te at (0.0000, 0.5000, 0.0000), Pt at (0.0000, 0.0000, 0.5000) and S at (0.0000, 0.5000, 0.5000).



The following is a DFT calculation (PBE-GGA) of a relaxed Er6Te3Pt2S crystal.

The density of states at the Fermi level comes out at 0.440 states/eV/atom. The value obtained for the total magnetic moment is 0.00 μB per atom. Its uncorrected formation energy is -1.390 eV/atom.

The space group is C2/m (No. 12) and the conventional cell measures 7.124, 12.359 and 7.543 Å, with angles of 90.00, 108.23 and 90.00 degrees. The asymmetric unit holds Er at (0.229, 0.000, 0.212), Er at (0.242, 0.329, 0.212), Te at (0.000, 0.000, 0.500), Te at (0.000, 0.337, 0.500), Pt at (0.000, 0.167, 0.000) and S at (0.000, 0.500, 0.000).



The following is a DFT calculation (PBE-GGA) of a relaxed Er8Te4Pt3S crystal.

The density of states at the Fermi level comes out at 0.585 states/eV/atom. The value obtained for the total magnetic moment is 0.00 μB per atom. Its uncorrected formation energy is -1.349 eV/atom.

The space group is R-3m (No. 166, hexagonal axes) and the conventional cell measures 8.2775, 8.2775 and 21.3661 Å, with angles of 90.00, 90.00 and 120.00 degrees. The asymmetric unit holds Er at (0.0000, 0.0000, 0.2354), Er at (0.0066, 0.5033, 0.7627), Te at (0.0000, 0.0000, 0.0000), Te at (0.0000, 0.5000, 0.0000), Pt at (0.0000, 0.5000, 0.5000) and S at (0.0000, 0.0000, 0.5000).



The following is a DFT calculation (PBE-GGA) of a relaxed Er7Sb2Pt2 crystal.

The density of states at the Fermi level comes out at 0.899 states/eV/atom. The value obtained for the total magnetic moment is 0.00 μB per atom. Its uncorrected formation energy is -0.731 eV/atom. The energy relative to the lowest polymorph listed for this composition comes out at 17.9 kJ/mol of atoms.

The space group is Cmmm (No. 65) and the conventional cell measures 8.706, 10.638 and 6.919 Å, with angles of 90.00, 90.00 and 90.00 degrees. The asymmetric unit holds Er at (0.000, 0.000, 0.000), Er at (0.000, 0.500, 0.238), Er at (0.250, 0.250, 0.249), Sb at (0.202, 0.000, 0.500) and Pt at (0.000, 0.279, 0.000).



The following is a DFT calculation (PBE-GGA) of a relaxed Er6Sb2Pt crystal.

The density of states at the Fermi level comes out at 1.407 states/eV/atom. The value obtained for the total magnetic moment is 0.00 μB per atom. Its uncorrected formation energy is -0.474 eV/atom.

The space group is P4_2/mnm (No. 136) and the conventional cell measures 6.758, 6.758 and 13.405 Å, with angles of 90.00, 90.00 and 90.00 degrees. The asymmetric unit holds Er at (0.189, 0.189, 0.153), Er at (0.215, 0.215, 0.500), Sb at (0.000, 0.000, 0.333) and Pt at (0.000, 0.000, 0.000).



The following is a DFT calculation (PBE-GGA) of a relaxed Er7Sb2Pt2 crystal.

The density of states at the Fermi level comes out at 1.068 states/eV/atom. The value obtained for the total magnetic moment is 0.01 μB per atom. Its uncorrected formation energy is -0.917 eV/atom. The energy relative to the lowest polymorph listed for this composition comes out at 0.0 kJ/mol of atoms.

The space group is Imm2 (No. 44) and the conventional cell measures 3.970, 15.492 and 9.545 Å, with angles of 90.00, 90.00 and 90.00 degrees. The asymmetric unit holds Er at (0.000, 0.000, 0.000), Er at (0.000, 0.123, 0.418), Er at (0.000, 0.314, 0.628), Er at (0.000, 0.358, 0.270), Sb at (0.000, 0.000, 0.670), Sb at (0.000, 0.500, 0.756) and Pt at (0.000, 0.239, 0.930).



The following is a DFT calculation (PBE-GGA) of a relaxed ErSb2Pt9 crystal.

The density of states at the Fermi level comes out at 0.479 states/eV/atom. The value obtained for the total magnetic moment is 0.00 μB per atom. Its uncorrected formation energy is -0.476 eV/atom.

The space group is P4/mmm (No. 123) and the conventional cell measures 4.090, 4.090 and 12.282 Å, with angles of 90.00, 90.00 and 90.00 degrees. The asymmetric unit holds Er at (0.000, 0.000, 0.000), Sb at (0.000, 0.000, 0.330), Pt at (0.000, 0.500, 0.169), Pt at (0.000, 0.500, 0.500), Pt at (0.500, 0.500, 0.000) and Pt at (0.500, 0.500, 0.337).



The following is a DFT calculation (PBE-GGA) of a relaxed Er4Sb2Pt crystal.

The density of states at the Fermi level comes out at 0.528 states/eV/atom. The value obtained for the total magnetic moment is 0.00 μB per atom. Its uncorrected formation energy is -0.836 eV/atom.

The space group is C2/m (No. 12) and the conventional cell measures 15.277, 4.259 and 7.315 Å, with angles of 90.00, 117.15 and 90.00 degrees. The asymmetric unit holds Er at (0.115, 0.000, 0.426), Er at (0.117, 0.500, 0.983), Sb at (0.230, 0.500, 0.731) and Pt at (0.000, 0.000, 0.000).



The following is a DFT calculation (PBE-GGA) of a relaxed Sr2ErSb4Pt3 crystal.

The density of states at the Fermi level comes out at 0.438 states/eV/atom. The value obtained for the total magnetic moment is 0.00 μB per atom. Its uncorrected formation energy is -0.845 eV/atom.

The space group is P-4m2 (No. 115) and the conventional cell measures 4.642, 4.642 and 11.855 Å, with angles of 90.00, 90.00 and 90.00 degrees. The asymmetric unit holds Sr at (0.000, 0.500, 0.237), Er at (0.000, 0.000, 0.500), Sb at (0.000, 0.000, 0.000), Sb at (0.000, 0.500, 0.652), Sb at (0.500, 0.500, 0.000), Pt at (0.000, 0.500, 0.879) and Pt at (0.500, 0.500, 0.500).



The following is a DFT calculation (PBE-GGA) of a relaxed Sr2ErSb3Pt4 crystal.

The density of states at the Fermi level comes out at 0.581 states/eV/atom. The value obtained for the total magnetic moment is 0.00 μB per atom. Its uncorrected formation energy is -0.905 eV/atom.

The space group is P-4m2 (No. 115) and the conventional cell measures 4.618, 4.618 and 11.332 Å, with angles of 90.00, 90.00 and 90.00 degrees. The asymmetric unit holds Sr at (0.000, 0.500, 0.228), Er at (0.000, 0.000, 0.500), Sb at (0.000, 0.500, 0.875), Sb at (0.500, 0.500, 0.500), Pt at (0.000, 0.000, 0.000), Pt at (0.000, 0.500, 0.641) and Pt at (0.500, 0.500, 0.000).



The following is a DFT calculation (PBE-GGA) of a relaxed ErScPt crystal.

The density of states at the Fermi level comes out at 0.870 states/eV/atom. The value obtained for the total magnetic moment is 0.00 μB per atom. The energy relative to the lowest polymorph listed for this composition comes out at 12.5 kJ/mol of atoms. For the formation energy, the calculation gives -0.857 eV/atom.

The space group is P2_1/m (No. 11) and the conventional cell measures 5.448, 4.564 and 6.088 Å, with angles of 90.00, 107.60 and 90.00 degrees. The asymmetric unit holds Er at (0.079, 0.250, 0.281), Sc at (0.472, 0.250, 0.817) and Pt at (0.359, 0.750, 0.574).